1.
An optimized crystal structure of MgSbMoI2, computed with GGA-PBE.

```
5
Lattice="5.639 0.000 0.000 0.000 5.639 0.000 0.000 0.000 5.336" Properties=species:S:1:pos:R:3 pbc="T T T"
Mg 0.000 0.000 0.000
Sb 2.819 2.819 0.000
Mo 2.819 2.819 2.668
I 0.000 2.819 2.668
I 2.819 0.000 2.668
```

## Properties
size of the total moment	2.1	μB/f.u.
space-group type	No. 123


2.
An optimized crystal structure of MgSbMoI2, computed with GGA-PBE.

```
5
Lattice="5.597 0.000 0.000 0.000 5.597 0.000 0.000 0.000 5.612" Properties=species:S:1:pos:R:3 pbc="T T T"
Mg 0.000 0.000 0.000
Sb 0.000 0.000 2.806
Mo 2.799 2.799 2.806
I 0.000 2.799 0.000
I 2.799 0.000 0.000
```

## Properties
size of the total moment	3.6	μB/f.u.
space-group type	No. 123


1 is preferred energetically. Next in line: 0.398 eV/atom higher.


1.
An optimized crystal structure of MgTeMoI2, computed with GGA-PBE.

```
5
Lattice="5.669 0.000 0.000 0.000 5.669 0.000 0.000 0.000 5.320" Properties=species:S:1:pos:R:3 pbc="T T T"
Mg 0.000 0.000 0.000
Te 2.834 2.834 0.000
Mo 2.834 2.834 2.660
I 0.000 2.834 2.660
I 2.834 0.000 2.660
```

## Properties
size of the total moment	2.1	μB/f.u.
space-group type	No. 123


2.
An optimized crystal structure of MgTeMoI2, computed with GGA-PBE.

```
5
Lattice="5.537 0.000 0.000 0.000 5.537 0.000 0.000 0.000 5.723" Properties=species:S:1:pos:R:3 pbc="T T T"
Mg 0.000 0.000 0.000
Te 0.000 0.000 2.862
Mo 2.769 2.769 2.862
I 0.000 2.769 0.000
I 2.769 0.000 0.000
```

## Properties
size of the total moment	4.0	μB/f.u.
space-group type	No. 123


1 is preferred energetically. Next in line: 0.297 eV/atom higher.


1.
An optimized crystal structure of MgTe2MoI, computed with GGA-PBE.

```
5
Lattice="5.263 0.000 0.000 0.000 5.263 0.000 0.000 0.000 5.827" Properties=species:S:1:pos:R:3 pbc="T T T"
Mg 0.000 0.000 0.000
Te 0.000 2.632 2.913
Te 2.632 0.000 2.913
Mo 2.632 2.632 2.913
I 2.632 2.632 0.000
```

## Properties
size of the total moment	0.7	μB/f.u.
space-group type	No. 123


2.
An optimized crystal structure of MgTe2MoI, computed with GGA-PBE.

```
5
Lattice="5.497 0.000 0.000 0.000 5.497 0.000 0.000 0.000 5.503" Properties=species:S:1:pos:R:3 pbc="T T T"
Mg 0.000 0.000 0.000
Te 0.000 2.748 0.000
Te 2.748 0.000 0.000
Mo 2.748 2.748 2.751
I 0.000 0.000 2.751
```

## Properties
size of the total moment	3.5	μB/f.u.
space-group type	No. 123


1 is preferred energetically. Next in line: 0.440 eV/atom higher.


1.
An optimized crystal structure of MgI2N2, computed with GGA-PBE.

```
5
Lattice="-2.416 2.416 4.586 2.416 -2.416 4.586 2.416 2.416 -4.586" Properties=species:S:1:pos:R:3 pbc="T T T"
Mg 0.000 0.000 0.000
I 0.000 0.000 2.755
I 0.000 0.000 6.417
N 2.416 0.000 2.293
N 0.000 2.416 2.293
```

## Properties
size of the total moment	0.0	μB/f.u.
space-group type	No. 139


2.
An optimized crystal structure of MgI2N2, computed with GGA-PBE.

```
5
Lattice="6.029 0.000 0.000 0.000 6.029 0.000 0.000 0.000 4.022" Properties=species:S:1:pos:R:3 pbc="T T T"
Mg 0.000 0.000 0.000
I 0.000 3.015 0.000
I 3.015 0.000 0.000
N 0.000 0.000 2.011
N 3.015 3.015 2.011
```

## Properties
size of the total moment	4.5	μB/f.u.
space-group type	No. 123


3.
An optimized crystal structure of MgI2N2, computed with GGA-PBE.

```
5
Lattice="4.487 0.000 0.000 0.000 4.487 0.000 0.000 0.000 6.420" Properties=species:S:1:pos:R:3 pbc="T T T"
Mg 0.000 0.000 0.000
I 0.000 0.000 3.210
I 2.244 2.244 3.210
N 0.000 2.244 0.000
N 2.244 0.000 0.000
```

## Properties
size of the total moment	4.2	μB/f.u.
space-group type	No. 123


4.
An optimized crystal structure of MgI2N2, computed with GGA-PBE.

```
5
Lattice="5.177 0.000 0.000 0.000 5.177 0.000 0.000 0.000 3.753" Properties=species:S:1:pos:R:3 pbc="T T T"
Mg 0.000 0.000 0.000
I 0.000 2.588 1.877
I 2.588 0.000 1.877
N 2.588 2.588 0.000
N 2.588 2.588 1.877
```

## Properties
size of the total moment	1.6	μB/f.u.
space-group type	No. 123


3 is preferred energetically. Next in line: 0.126 eV/atom higher.


1.
An optimized crystal structure of MgI2N, computed with GGA-PBE.

```
4
Lattice="0.000 3.768 3.768 3.768 0.000 3.768 3.768 3.768 0.000" Properties=species:S:1:pos:R:3 pbc="T T T"
Mg 0.000 0.000 0.000
I 1.884 1.884 1.884
I 5.652 5.652 5.652
N 3.768 3.768 3.768
```

## Properties
size of the total moment	3.0	μB/f.u.
space-group type	No. 225


2.
An optimized crystal structure of MgI2N, computed with GGA-PBE.

```
8
Lattice="-2.817 2.817 7.244 2.817 -2.817 7.244 2.817 2.817 -7.244" Properties=species:S:1:pos:R:3 pbc="T T T"
Mg 0.000 0.000 0.000
Mg 0.000 2.817 3.622
I 1.409 -1.091 5.433
I 1.726 1.409 1.811
I 1.409 3.908 -1.811
I 1.091 1.409 9.055
N 2.817 0.000 3.622
N 0.000 0.000 7.244
```

## Properties
size of the total moment	0.0	μB/f.u.
space-group type	No. 122


2 is preferred energetically. Next in line: 0.006 eV/atom higher.


1.
An optimized crystal structure of Mg3IN, computed with GGA-PBE.

```
5
Lattice="5.574 0.000 0.000 0.000 5.574 0.000 0.000 0.000 5.574" Properties=species:S:1:pos:R:3 pbc="T T T"
Mg 0.000 0.000 2.787
Mg 0.000 2.787 0.000
Mg 2.787 0.000 0.000
I 0.000 0.000 0.000
N 2.787 2.787 2.787
```

## Properties
size of the total moment	0.0	μB/f.u.
space-group type	No. 221


2.
An optimized crystal structure of Mg3IN, computed with GGA-PBE.

```
5
Lattice="4.605 0.000 0.000 0.000 4.605 0.000 0.000 0.000 4.605" Properties=species:S:1:pos:R:3 pbc="T T T"
Mg 0.000 0.000 2.303
Mg 0.000 2.303 0.000
Mg 2.303 0.000 0.000
I 2.303 2.303 2.303
N 0.000 0.000 0.000
```

## Properties
size of the total moment	0.0	μB/f.u.
space-group type	No. 221


2 is preferred energetically. Next in line: 1.832 eV/atom higher.


1.
An optimized crystal structure of MgIN2, computed with GGA-PBE.

```
8
Lattice="-2.372 2.372 5.743 2.372 -2.372 5.743 2.372 2.372 -5.743" Properties=species:S:1:pos:R:3 pbc="T T T"
Mg 0.000 0.000 0.000
Mg 0.000 2.372 2.871
I 2.372 0.000 2.871
I 0.000 0.000 5.743
N 3.558 1.150 -1.436
N 1.150 1.186 1.436
N -1.186 1.222 4.307
N 1.222 1.186 7.178
```

## Properties
size of the total moment	0.0	μB/f.u.
space-group type	No. 122


2.
An optimized crystal structure of MgIN2, computed with GGA-PBE.

```
4
Lattice="0.000 2.963 2.963 2.963 0.000 2.963 2.963 2.963 0.000" Properties=species:S:1:pos:R:3 pbc="T T T"
Mg 0.000 0.000 0.000
I 2.963 2.963 2.963
N 1.482 1.482 1.482
N 4.445 4.445 4.445
```

## Properties
size of the total moment	0.0	μB/f.u.
space-group type	No. 225


3.
An optimized crystal structure of MgIN2, computed with GGA-PBE.

```
4
Lattice="1.804 1.041 6.163 -1.804 1.041 6.163 0.000 -2.083 6.163" Properties=species:S:1:pos:R:3 pbc="T T T"
Mg 0.000 0.000 0.000
I 0.000 0.000 9.245
N 0.000 0.000 1.990
N 0.000 0.000 16.500
```

## Properties
size of the total moment	0.0	μB/f.u.
space-group type	No. 166


4.
An optimized crystal structure of MgIN2, computed with GGA-PBE.

```
4
Lattice="1.710 0.987 6.139 -1.710 0.987 6.139 0.000 -1.974 6.139" Properties=species:S:1:pos:R:3 pbc="T T T"
Mg 0.000 0.000 0.000
I 0.000 0.000 9.209
N 0.000 0.000 7.184
N 0.000 0.000 11.233
```

## Properties
size of the total moment	0.0	μB/f.u.
space-group type	No. 166


4 is preferred energetically. Next in line: 0.115 eV/atom higher.


1.
An optimized crystal structure of MgI3N, computed with GGA-PBE.

```
5
Lattice="5.760 0.000 0.000 0.000 5.760 0.000 0.000 0.000 5.760" Properties=species:S:1:pos:R:3 pbc="T T T"
Mg 0.000 0.000 0.000
I 0.000 0.000 2.880
I 0.000 2.880 0.000
I 2.880 0.000 0.000
N 2.880 2.880 2.880
```

## Properties
size of the total moment	3.0	μB/f.u.
space-group type	No. 221


2.
An optimized crystal structure of MgI3N, computed with GGA-PBE.

```
5
Lattice="5.094 0.000 0.000 0.000 5.094 0.000 0.000 0.000 5.094" Properties=species:S:1:pos:R:3 pbc="T T T"
Mg 0.000 0.000 0.000
I 0.000 2.547 2.547
I 2.547 0.000 2.547
I 2.547 2.547 0.000
N 2.547 2.547 2.547
```

## Properties
size of the total moment	0.0	μB/f.u.
space-group type	No. 221


1 is preferred energetically. Next in line: 0.016 eV/atom higher.